# 1
Material: Na2LaAsS4
Method: DFT, PBE-GGA
State: relaxed

Lattice parameters (Å, degrees): 8.0640 8.0640 8.0640 121.83 117.95 90.22
Atoms (fractional coordinates):
Na (0.0000, 0.0000, 0.0000)
Na (0.5000, 0.0000, 0.0000)
Na (0.5000, 0.0000, 0.5000)
Na (0.5000, 0.5000, 0.5000)
La (0.0000, 0.5000, 0.5000)
La (0.5000, 0.5000, 0.0000)
As (0.0000, 0.0000, 0.5000)
As (0.0000, 0.5000, 0.0000)
S (0.2170, 0.2492, 0.9678)
S (0.2187, 0.7508, 0.4678)
S (0.2337, 0.2352, 0.5015)
S (0.2337, 0.7322, 0.9985)
S (0.7663, 0.2678, 0.0015)
S (0.7663, 0.7648, 0.4985)
S (0.7813, 0.2492, 0.5322)
S (0.7830, 0.7508, 0.0322)

Total energy, eV/atom: -4.741

# 2
Material: NaLaAsSe2
Method: DFT, PBE-GGA
State: relaxed

Lattice parameters (Å, degrees): 5.1366 5.1366 4.8824 90.00 90.00 90.00
Atoms (fractional coordinates):
Na (0.0000, 0.0000, 0.0000)
La (0.5000, 0.5000, 0.5000)
As (0.0000, 0.0000, 0.5000)
Se (0.0000, 0.5000, 0.0000)
Se (0.5000, 0.0000, 0.0000)

E above lowest polymorph, meV per atom: 94
Total energy, eV/atom: -3.945

# 3
Material: NaLaAsSe2
Method: DFT, PBE-GGA
State: relaxed

Lattice parameters (Å, degrees): 5.8034 5.8034 5.8516 90.00 90.00 90.00
Atoms (fractional coordinates):
Na (0.0000, 0.0000, 0.0000)
La (0.5000, 0.5000, 0.5000)
As (0.5000, 0.5000, 0.0000)
Se (0.0000, 0.5000, 0.5000)
Se (0.5000, 0.0000, 0.5000)

E above lowest polymorph, meV per atom: 0
Total energy, eV/atom: -4.039

# 4
Material: NaLa2SiAs
Method: DFT, PBE-GGA
State: relaxed

Lattice parameters (Å, degrees): 5.6543 5.6543 4.6192 90.00 90.00 90.00
Atoms (fractional coordinates):
Na (0.0000, 0.0000, 0.0000)
La (0.0000, 0.5000, 0.0000)
La (0.5000, 0.0000, 0.0000)
Si (0.0000, 0.0000, 0.5000)
As (0.5000, 0.5000, 0.5000)

Total energy, eV/atom: -3.779

# 5
Material: LaNbAs3
Method: DFT, PBE-GGA
State: relaxed

Lattice parameters (Å, degrees): 5.0032 5.0032 5.0032 90.00 90.00 90.00
Atoms (fractional coordinates):
La (0.0000, 0.0000, 0.0000)
Nb (0.5000, 0.5000, 0.5000)
As (0.0000, 0.5000, 0.5000)
As (0.5000, 0.0000, 0.5000)
As (0.5000, 0.5000, 0.0000)

E above lowest polymorph, meV per atom: 0
Total energy, eV/atom: -6.306
Energy of formation, meV per atom: -516

# 6
Material: LaNbAs2
Method: DFT, PBE-GGA
State: relaxed

Lattice parameters (Å, degrees): 3.9861 3.9861 19.8983 90.00 90.00 120.00
Atoms (fractional coordinates):
La (0.0000, 0.0000, 0.0000)
La (0.3333, 0.6667, 0.6667)
La (0.6667, 0.3333, 0.3333)
Nb (0.0000, 0.0000, 0.5000)
Nb (0.3333, 0.6667, 0.1667)
Nb (0.6667, 0.3333, 0.8333)
As (0.0000, 0.0000, 0.2372)
As (0.0000, 0.0000, 0.7628)
As (0.3333, 0.6667, 0.4295)
As (0.3333, 0.6667, 0.9038)
As (0.6667, 0.3333, 0.0962)
As (0.6667, 0.3333, 0.5705)

E above lowest polymorph, meV per atom: 0
Total energy, eV/atom: -7.009
Energy of formation, meV per atom: -935

# 7
Material: La3NbAs
Method: DFT, PBE-GGA
State: relaxed

Lattice parameters (Å, degrees): 5.4486 5.4486 5.4486 90.00 90.00 90.00
Atoms (fractional coordinates):
La (0.0000, 0.0000, 0.5000)
La (0.0000, 0.5000, 0.0000)
La (0.5000, 0.0000, 0.0000)
Nb (0.0000, 0.0000, 0.0000)
As (0.5000, 0.5000, 0.5000)

E above lowest polymorph, meV per atom: 0
Total energy, eV/atom: -5.790
Energy of formation, meV per atom: 111

# 8
Material: La2NbAs
Method: DFT, PBE-GGA
State: relaxed

Lattice parameters (Å, degrees): 8.3358 8.3358 6.1220 90.00 90.00 90.00
Atoms (fractional coordinates):
La (0.2415, 0.2500, 0.1250)
La (0.2500, 0.7415, 0.3750)
La (0.2500, 0.7585, 0.8750)
La (0.2585, 0.2500, 0.6250)
La (0.7415, 0.7500, 0.6250)
La (0.7500, 0.2415, 0.8750)
La (0.7500, 0.2585, 0.3750)
La (0.7585, 0.7500, 0.1250)
Nb (0.0000, 0.0000, 0.5000)
Nb (0.0000, 0.5000, 0.7500)
Nb (0.5000, 0.0000, 0.2500)
Nb (0.5000, 0.5000, 0.0000)
As (0.0000, 0.0000, 0.0000)
As (0.0000, 0.5000, 0.2500)
As (0.5000, 0.0000, 0.7500)
As (0.5000, 0.5000, 0.5000)

Total energy, eV/atom: -6.060
Energy of formation, meV per atom: 84

# 9
Material: LaNbAs3
Method: DFT, PBE-GGA
State: relaxed

Lattice parameters (Å, degrees): 5.3728 5.3728 5.3728 90.00 90.00 90.00
Atoms (fractional coordinates):
La (0.0000, 0.0000, 0.0000)
Nb (0.5000, 0.5000, 0.5000)
As (0.0000, 0.0000, 0.5000)
As (0.0000, 0.5000, 0.0000)
As (0.5000, 0.0000, 0.0000)

E above lowest polymorph, meV per atom: 1819
Total energy, eV/atom: -4.487
Energy of formation, meV per atom: 1302

# 10
Material: LaNbAs2
Method: DFT, PBE-GGA
State: relaxed

Lattice parameters (Å, degrees): 6.9400 6.9400 6.9400 90.00 90.00 90.00
Atoms (fractional coordinates):
La (0.0000, 0.0000, 0.0000)
La (0.0000, 0.5000, 0.5000)
La (0.5000, 0.0000, 0.5000)
La (0.5000, 0.5000, 0.0000)
Nb (0.0000, 0.0000, 0.5000)
Nb (0.0000, 0.5000, 0.0000)
Nb (0.5000, 0.0000, 0.0000)
Nb (0.5000, 0.5000, 0.5000)
As (0.2500, 0.2500, 0.2500)
As (0.2500, 0.2500, 0.7500)
As (0.2500, 0.7500, 0.2500)
As (0.2500, 0.7500, 0.7500)
As (0.7500, 0.2500, 0.2500)
As (0.7500, 0.2500, 0.7500)
As (0.7500, 0.7500, 0.2500)
As (0.7500, 0.7500, 0.7500)

E above lowest polymorph, meV per atom: 355
Total energy, eV/atom: -6.654
Energy of formation, meV per atom: -580

# 11
Material: LaNbAs2
Method: DFT, PBE-GGA
State: relaxed

Lattice parameters (Å, degrees): 6.1618 6.1618 13.0351 90.00 90.00 90.00
Atoms (fractional coordinates):
La (0.0000, 0.0000, 0.0000)
La (0.0000, 0.5000, 0.2500)
La (0.5000, 0.0000, 0.7500)
La (0.5000, 0.5000, 0.5000)
Nb (0.0000, 0.0000, 0.5000)
Nb (0.0000, 0.5000, 0.7500)
Nb (0.5000, 0.0000, 0.2500)
Nb (0.5000, 0.5000, 0.0000)
As (0.1860, 0.2500, 0.6250)
As (0.2500, 0.6860, 0.8750)
As (0.2500, 0.8140, 0.3750)
As (0.3140, 0.2500, 0.1250)
As (0.6860, 0.7500, 0.1250)
As (0.7500, 0.1860, 0.3750)
As (0.7500, 0.3140, 0.8750)
As (0.8140, 0.7500, 0.6250)

E above lowest polymorph, meV per atom: 546
Total energy, eV/atom: -6.462
Energy of formation, meV per atom: -388

# 12
Material: LaNb2AsOs
Method: DFT, PBE-GGA
State: relaxed

Lattice parameters (Å, degrees): 4.8685 4.8685 4.6940 90.00 90.00 90.00
Atoms (fractional coordinates):
La (0.0000, 0.0000, 0.0000)
Nb (0.0000, 0.5000, 0.5000)
Nb (0.5000, 0.0000, 0.5000)
As (0.5000, 0.5000, 0.5000)
Os (0.5000, 0.5000, 0.0000)

Total energy, eV/atom: -7.679
Energy of formation, meV per atom: 510

# 13
Material: La2NbAs4Pd3
Method: DFT, PBE-GGA
State: relaxed

Lattice parameters (Å, degrees): 4.4420 4.4420 10.3524 90.00 90.00 90.00
Atoms (fractional coordinates):
La (0.0000, 0.5000, 0.2301)
La (0.5000, 0.0000, 0.7699)
Nb (0.0000, 0.0000, 0.5000)
As (0.0000, 0.0000, 0.0000)
As (0.0000, 0.5000, 0.6344)
As (0.5000, 0.0000, 0.3656)
As (0.5000, 0.5000, 0.0000)
Pd (0.0000, 0.5000, 0.8776)
Pd (0.5000, 0.0000, 0.1224)
Pd (0.5000, 0.5000, 0.5000)

Total energy, eV/atom: -6.282
Energy of formation, meV per atom: -871

# 14
Material: La2NbAs4Pt3
Method: DFT, PBE-GGA
State: relaxed

Lattice parameters (Å, degrees): 4.4488 4.4488 10.3071 90.00 90.00 90.00
Atoms (fractional coordinates):
La (0.0000, 0.5000, 0.2349)
La (0.5000, 0.0000, 0.7651)
Nb (0.0000, 0.0000, 0.5000)
As (0.0000, 0.0000, 0.0000)
As (0.0000, 0.5000, 0.6341)
As (0.5000, 0.0000, 0.3659)
As (0.5000, 0.5000, 0.0000)
Pt (0.0000, 0.5000, 0.8786)
Pt (0.5000, 0.0000, 0.1214)
Pt (0.5000, 0.5000, 0.5000)

Total energy, eV/atom: -6.565
Energy of formation, meV per atom: -900

# 15
Material: LaNbAs2Pt
Method: DFT, PBE-GGA
State: relaxed

Lattice parameters (Å, degrees): 5.0700 5.0700 4.9511 90.00 90.00 90.00
Atoms (fractional coordinates):
La (0.0000, 0.0000, 0.0000)
Nb (0.5000, 0.5000, 0.0000)
As (0.0000, 0.5000, 0.5000)
As (0.5000, 0.0000, 0.5000)
Pt (0.5000, 0.5000, 0.5000)

Total energy, eV/atom: -5.855
Energy of formation, meV per atom: 213

# 16
Material: La2NbAs3Rh4
Method: DFT, PBE-GGA
State: relaxed

Lattice parameters (Å, degrees): 4.2246 4.2246 10.7073 90.00 90.00 90.00
Atoms (fractional coordinates):
La (0.0000, 0.5000, 0.2401)
La (0.5000, 0.0000, 0.7599)
Nb (0.0000, 0.0000, 0.5000)
As (0.0000, 0.5000, 0.8651)
As (0.5000, 0.0000, 0.1349)
As (0.5000, 0.5000, 0.5000)
Rh (0.0000, 0.0000, 0.0000)
Rh (0.0000, 0.5000, 0.6342)
Rh (0.5000, 0.0000, 0.3658)
Rh (0.5000, 0.5000, 0.0000)

Total energy, eV/atom: -7.230
Energy of formation, meV per atom: -902

# 17
Material: LaNbAs2Ru
Method: DFT, PBE-GGA
State: relaxed

Lattice parameters (Å, degrees): 3.9799 3.9799 13.0237 90.00 90.00 90.00
Atoms (fractional coordinates):
La (0.0000, 0.0000, 0.0000)
La (0.5000, 0.5000, 0.5000)
Nb (0.0000, 0.5000, 0.2500)
Nb (0.5000, 0.0000, 0.7500)
As (0.0000, 0.0000, 0.3773)
As (0.0000, 0.0000, 0.6227)
As (0.5000, 0.5000, 0.1227)
As (0.5000, 0.5000, 0.8773)
Ru (0.0000, 0.5000, 0.7500)
Ru (0.5000, 0.0000, 0.2500)

Total energy, eV/atom: -7.444
Energy of formation, meV per atom: -729

# 18
Material: LaNb2SnAs
Method: DFT, PBE-GGA
State: relaxed

Lattice parameters (Å, degrees): 5.1631 5.1631 5.9177 90.00 90.00 90.00
Atoms (fractional coordinates):
La (0.0000, 0.0000, 0.0000)
Nb (0.0000, 0.5000, 0.5000)
Nb (0.5000, 0.0000, 0.5000)
Sn (0.0000, 0.0000, 0.5000)
As (0.5000, 0.5000, 0.0000)

Total energy, eV/atom: -5.659
Energy of formation, meV per atom: 1085

# 19
Material: SrLaNbAs2
Method: DFT, PBE-GGA
State: relaxed

Lattice parameters (Å, degrees): 5.5435 5.5435 6.0807 90.00 90.00 90.00
Atoms (fractional coordinates):
Sr (0.0000, 0.0000, 0.0000)
La (0.0000, 0.0000, 0.5000)
Nb (0.5000, 0.5000, 0.0000)
As (0.0000, 0.5000, 0.5000)
As (0.5000, 0.0000, 0.5000)

Total energy, eV/atom: -3.855
Energy of formation, meV per atom: 1340

# 20
Material: LaNb2AsW
Method: DFT, PBE-GGA
State: relaxed

Lattice parameters (Å, degrees): 5.0218 5.0218 4.8594 90.00 90.00 90.00
Atoms (fractional coordinates):
La (0.0000, 0.0000, 0.0000)
Nb (0.0000, 0.5000, 0.5000)
Nb (0.5000, 0.0000, 0.5000)
As (0.5000, 0.5000, 0.0000)
W (0.5000, 0.5000, 0.5000)

Total energy, eV/atom: -7.837
Energy of formation, meV per atom: 697